1.
Entry from Alexandria via LeMat-Bulk: a relaxed structure of SrTh2Ni (GGA-PBE).

The structure in POSCAR format:
```
SrTh2Ni
1.0
1.922 1.110 10.723
-1.922 1.110 10.723
0.000 -2.220 10.723
Sr Th Ni
1 2 1
Cartesian
0.000 0.000 0.000
0.000 0.000 3.707
0.000 0.000 28.461
0.000 0.000 16.084
```

Results
Symmetry = R-3m (166)
ΔE_f = 0.5 eV per formula unit
Crystal system = trigonal



2.
Entry from Alexandria via LeMat-Bulk: a relaxed structure of GdTlTe2 (GGA-PBE).

The structure in POSCAR format:
```
GdTlTe2
1.0
2.245 1.296 8.165
-2.245 1.296 8.165
0.000 -2.592 8.165
Gd Tl Te
1 1 2
Cartesian
0.000 0.000 0.000
0.000 0.000 12.247
0.000 0.000 6.408
0.000 0.000 18.086
```

Results
Symmetry = R-3m (166)
Raw formation energy = -1.08 eV per atom
Crystal system = trigonal



3.
Entry from Alexandria via LeMat-Bulk: a relaxed structure of MnCu2Pd (GGA-PBE).

The structure in POSCAR format:
```
MnCu2Pd
1.0
-3.425 3.425 2.546
3.425 -3.425 2.546
3.425 3.425 -2.546
Mn Cu Pd
2 4 2
Cartesian
0.000 0.000 0.000
0.000 3.425 1.273
5.137 1.694 -0.637
1.694 1.712 0.637
-1.712 1.731 1.910
1.731 1.712 3.183
3.425 0.000 1.273
0.000 0.000 2.546
```

Results
Symmetry = I-42d (122)
ΔE_f = 1.2 eV per formula unit
Crystal system = tetragonal



4.
Entry from Alexandria via LeMat-Bulk: a relaxed structure of BeGa3O (GGA-PBE).

The structure in POSCAR format:
```
BeGa3O
1.0
4.356 0.000 0.000
0.000 4.356 0.000
0.000 0.000 4.356
Be Ga O
1 3 1
Cartesian
0.000 0.000 0.000
0.000 2.178 2.178
2.178 0.000 2.178
2.178 2.178 0.000
2.178 2.178 2.178
```

Results
Symmetry = Pm-3m (221)
Excess energy over the best structure of this formula in the dataset = 0 kJ/mol of formula units
Raw formation energy = 0.18 eV per atom
Crystal system = cubic